[1]
This record from the Alexandria database describes KNa2NdF6 after structural relaxation. The functional is PBE-GGA.

Computed properties:
* formation energy from raw total energies: -3.2629 eV per atom

Structure (CIF):
```
data_KNa2NdF6
_chemical_formula_sum 'K1 Na2 Nd1 F6'
_space_group_name_H-M_alt 'P 1'
_space_group_IT_number 1
_space_group_name_Hall 'P 1'
_cell_length_a 6.095
_cell_length_b 6.094
_cell_length_c 6.385
_cell_angle_alpha 61.49
_cell_angle_beta 61.49
_cell_angle_gamma 59.99
loop_
_atom_site_label
_atom_site_type_symbol
_atom_site_fract_x
_atom_site_fract_y
_atom_site_fract_z
K1 K 0.800 0.800 0.599
Na1 Na 0.523 0.523 0.430
Na2 Na 0.016 0.016 0.952
Nd1 Nd 0.312 0.312 0.065
F1 F 0.610 0.243 0.229
F2 F 0.243 0.918 0.229
F3 F 0.918 0.611 0.229
F4 F 0.360 0.708 0.761
F5 F 0.708 0.171 0.761
F6 F 0.171 0.360 0.761
```

[2]
This record from the Alexandria database describes CeNb2C2 after structural relaxation. The functional is PBE-GGA.

Computed properties:
* energy of formation from the pure elements: -0.161 eV per atom

Structure (CIF):
```
data_CeNb2C2
_chemical_formula_sum 'Ce2 Nb4 C4'
_space_group_name_H-M_alt 'P 1'
_space_group_IT_number 1
_space_group_name_Hall 'P 1'
_cell_length_a 5.875
_cell_length_b 5.875
_cell_length_c 5.989
_cell_angle_alpha 113.16
_cell_angle_beta 113.16
_cell_angle_gamma 101.41
loop_
_atom_site_label
_atom_site_type_symbol
_atom_site_fract_x
_atom_site_fract_y
_atom_site_fract_z
Ce1 Ce 0.875 0.625 0.750
Ce2 Ce 0.125 0.375 0.250
Nb1 Nb 0.232 0.981 0.463
Nb2 Nb 0.481 0.732 0.963
Nb3 Nb 0.768 0.019 0.537
Nb4 Nb 0.519 0.268 0.037
C1 C 0.168 0.332 0.750
C2 C 0.418 0.082 0.250
C3 C 0.582 0.918 0.750
C4 C 0.832 0.668 0.250
```

[3]
This record from the Alexandria database describes LiCeTmFe after structural relaxation. The functional is PBE-GGA.

Computed properties:
* energy of formation from the pure elements: 0.101 eV per atom

Structure (CIF):
```
data_LiCeTmFe
_chemical_formula_sum 'Li1 Ce1 Tm1 Fe1'
_space_group_name_H-M_alt 'P 1'
_space_group_IT_number 1
_space_group_name_Hall 'P 1'
_cell_length_a 4.828
_cell_length_b 4.828
_cell_length_c 4.828
_cell_angle_alpha 60.00
_cell_angle_beta 60.00
_cell_angle_gamma 60.00
loop_
_atom_site_label
_atom_site_type_symbol
_atom_site_fract_x
_atom_site_fract_y
_atom_site_fract_z
Tm1 Tm 0.250 0.250 0.250
Fe1 Fe 0.500 0.500 0.500
Ce1 Ce 0.750 0.750 0.750
Li1 Li 0.000 0.000 0.000
```

[4]
This record from the Alexandria database describes Pu2ZnBPt6 after structural relaxation. The functional is PBE-GGA.

Computed properties:
* energy of formation from the pure elements: -0.618 eV per atom

Structure (CIF):
```
data_Pu2ZnBPt6
_chemical_formula_sum 'Pu4 Zn2 B2 Pt12'
_space_group_name_H-M_alt 'P 1'
_space_group_IT_number 1
_space_group_name_Hall 'P 1'
_cell_length_a 5.647
_cell_length_b 7.445
_cell_length_c 8.675
_cell_angle_alpha 90.00
_cell_angle_beta 90.00
_cell_angle_gamma 90.00
loop_
_atom_site_label
_atom_site_type_symbol
_atom_site_fract_x
_atom_site_fract_y
_atom_site_fract_z
Pu1 Pu 0.500 0.708 0.287
Pu2 Pu 0.000 0.292 0.787
Pu3 Pu 0.500 0.708 0.713
Pu4 Pu 0.000 0.292 0.213
Zn1 Zn 0.000 0.684 0.500
Zn2 Zn 0.500 0.316 0.000
B1 B 0.500 0.194 0.500
B2 B 0.000 0.806 0.000
Pt1 Pt 0.500 0.132 0.255
Pt2 Pt 0.500 0.132 0.745
Pt3 Pt 0.000 0.868 0.245
Pt4 Pt 0.000 0.868 0.755
Pt5 Pt 0.241 0.988 0.500
Pt6 Pt 0.759 0.988 0.500
Pt7 Pt 0.252 0.405 0.500
Pt8 Pt 0.748 0.405 0.500
Pt9 Pt 0.752 0.595 0.000
Pt10 Pt 0.248 0.595 0.000
Pt11 Pt 0.259 0.012 0.000
Pt12 Pt 0.741 0.012 0.000
```